(1)
# AgHg2Pb, relaxed, DFT PBEsol
# E_tot   -2.05 eV/atom
# N(E_F)   1.416 states/eV/cell
# ΔE_f   60.9 meV/atom
data_AgHg2Pb
_chemical_formula_sum 'Ag1 Hg2 Pb1'
_cell_length_a 3.197
_cell_length_b 3.870
_cell_length_c 7.380
_cell_angle_alpha 90.00
_cell_angle_beta 90.00
_cell_angle_gamma 90.00
_symmetry_space_group_name_H-M 'P 1'
_symmetry_Int_Tables_number 1
_symmetry_space_group_name_Hall 'P 1'
loop_
_atom_site_label
_atom_site_fract_x
_atom_site_fract_y
_atom_site_fract_z
Ag1 0.000 0.000 0.000
Hg1 0.000 0.000 0.456
Hg2 0.500 0.500 0.208
Pb1 0.500 0.500 0.750

---

(2)
# AgHgPb2, relaxed, DFT PBEsol
# E_tot   -2.91 eV/atom
# N(E_F)   1.706 states/eV/cell
# ΔE_f   56.0 meV/atom
data_AgHgPb2
_chemical_formula_sum 'Ag1 Hg1 Pb2'
_cell_length_a 3.354
_cell_length_b 3.354
_cell_length_c 8.705
_cell_angle_alpha 90.00
_cell_angle_beta 90.00
_cell_angle_gamma 90.00
_symmetry_space_group_name_H-M 'P 1'
_symmetry_Int_Tables_number 1
_symmetry_space_group_name_Hall 'P 1'
loop_
_atom_site_label
_atom_site_fract_x
_atom_site_fract_y
_atom_site_fract_z
Ag1 0.000 0.000 0.000
Hg1 0.000 0.000 0.500
Pb1 0.500 0.500 0.224
Pb2 0.500 0.500 0.776

---

(3)
# AgHg2Pb, relaxed, DFT PBEsol
# E_tot   -2.05 eV/atom
# N(E_F)   1.755 states/eV/cell
# ΔE_f   57.5 meV/atom
data_AgHg2Pb
_chemical_formula_sum 'Ag1 Hg2 Pb1'
_cell_length_a 3.366
_cell_length_b 3.366
_cell_length_c 8.033
_cell_angle_alpha 90.00
_cell_angle_beta 90.00
_cell_angle_gamma 90.00
_symmetry_space_group_name_H-M 'P 1'
_symmetry_Int_Tables_number 1
_symmetry_space_group_name_Hall 'P 1'
loop_
_atom_site_label
_atom_site_fract_x
_atom_site_fract_y
_atom_site_fract_z
Ag1 0.000 0.000 0.000
Hg1 0.000 0.000 0.463
Hg2 0.500 0.500 0.213
Pb1 0.500 0.500 0.755

---

(4)
# AgHg2Pb, relaxed, DFT PBEsol
# E_tot   -2.04 eV/atom
# N(E_F)   1.492 states/eV/cell
# ΔE_f   73.4 meV/atom
data_AgHg2Pb
_chemical_formula_sum 'Ag1 Hg2 Pb1'
_cell_length_a 9.383
_cell_length_b 9.383
_cell_length_c 9.383
_cell_angle_alpha 20.94
_cell_angle_beta 20.94
_cell_angle_gamma 20.94
_symmetry_space_group_name_H-M 'P 1'
_symmetry_Int_Tables_number 1
_symmetry_space_group_name_Hall 'P 1'
loop_
_atom_site_label
_atom_site_fract_x
_atom_site_fract_y
_atom_site_fract_z
Ag1 0.000 0.000 0.000
Hg1 0.491 0.491 0.491
Hg2 0.742 0.742 0.742
Pb1 0.252 0.252 0.252

---

(5)
# AgHg2Pb, relaxed, DFT PBEsol
# E_tot   -2.04 eV/atom
# N(E_F)   1.533 states/eV/cell
# ΔE_f   69.1 meV/atom
data_AgHg2Pb
_chemical_formula_sum 'Ag1 Hg2 Pb1'
_cell_length_a 9.903
_cell_length_b 9.903
_cell_length_c 9.903
_cell_angle_alpha 19.17
_cell_angle_beta 19.17
_cell_angle_gamma 19.17
_symmetry_space_group_name_H-M 'P 1'
_symmetry_Int_Tables_number 1
_symmetry_space_group_name_Hall 'P 1'
loop_
_atom_site_label
_atom_site_fract_x
_atom_site_fract_y
_atom_site_fract_z
Ag1 0.000 0.000 0.000
Hg1 0.259 0.259 0.259
Hg2 0.741 0.741 0.741
Pb1 0.500 0.500 0.500

---

(6)
# AgHg2Pb, relaxed, DFT PBEsol
# E_tot   -2.06 eV/atom
# N(E_F)   1.264 states/eV/cell
# ΔE_f   55.3 meV/atom
data_AgHg2Pb
_chemical_formula_sum 'Ag1 Hg2 Pb1'
_cell_length_a 6.180
_cell_length_b 6.180
_cell_length_c 6.180
_cell_angle_alpha 150.47
_cell_angle_beta 127.75
_cell_angle_gamma 61.16
_symmetry_space_group_name_H-M 'P 1'
_symmetry_Int_Tables_number 1
_symmetry_space_group_name_Hall 'P 1'
loop_
_atom_site_label
_atom_site_fract_x
_atom_site_fract_y
_atom_site_fract_z
Ag1 0.000 0.000 0.000
Hg1 0.227 0.727 0.500
Hg2 0.773 0.273 0.500
Pb1 0.500 0.500 0.000

---

Question: The lowest ΔE_f belongs to which entry?
Answer: number 6